[1]
Here is crystalline NaSr3Ir at its relaxed geometry from Alexandria via LeMat-Bulk. Energies are from PBE.

The space group is P2_1/c (No. 14) and the conventional cell measures 10.262, 7.350 and 11.757 Å, with angles of 90.00, 120.98 and 90.00 degrees. The distinct sites, in fractional coordinates, are Na at (0.154, 0.142, 0.055), Sr at (0.033, 0.558, 0.808), Sr at (0.304, 0.702, 0.180), Sr at (0.414, 0.229, 0.942) and Ir at (0.251, 0.630, 0.411).

Its crystal system is monoclinic. For the calculated density, the calculation gives 4.18 g/cm3. As for the polymorph energy (0 for the lowest one): 27 kJ/mol of formula units. Its density of states at the Fermi level is 0.431 states/eV/atom. Its volume is 38.01 Å³/atom.

=====

[2]
Here is crystalline Li2Cu7Ni2 at its relaxed geometry from Alexandria via LeMat-Bulk. Energies are from PBE.

The space group is C2/m (No. 12) and the conventional cell measures 7.571, 8.271 and 4.859 Å, with angles of 90.00, 114.95 and 90.00 degrees. The distinct sites, in fractional coordinates, are Li at (0.000, 0.164, 0.000), Cu at (0.000, 0.000, 0.500), Cu at (0.178, 0.244, 0.690), Cu at (0.183, 0.500, 0.976) and Ni at (0.147, 0.500, 0.441).

Its crystal system is monoclinic. For the calculated density, the calculation gives 6.93 g/cm3. As for the polymorph energy (0 for the lowest one): 0 kJ/mol of formula units. Its density of states at the Fermi level is 0.364 states/eV/atom. Its volume is 12.54 Å³/atom.

=====

[3]
Here is crystalline BaBeS2Cl at its relaxed geometry from Alexandria via LeMat-Bulk. Energies are from PBE.

The space group is P4/mmm (No. 123) and the conventional cell measures 6.320, 6.320 and 5.932 Å, with angles of 90.00, 90.00 and 90.00 degrees. The distinct sites, in fractional coordinates, are Ba at (0.000, 0.000, 0.000), Be at (0.500, 0.500, 0.500), S at (0.000, 0.500, 0.000) and Cl at (0.000, 0.000, 0.500).

Its crystal system is tetragonal. For the calculated density, the calculation gives 1.72 g/cm3. As for the polymorph energy (0 for the lowest one): 763 kJ/mol of formula units. Its density of states at the Fermi level is 0.887 states/eV/atom. Its volume is 47.39 Å³/atom.

=====

[4]
Here is crystalline LaPm3Er6 at its relaxed geometry from Alexandria via LeMat-Bulk. Energies are from PBE.

The space group is Cmc2_1 (No. 36) and the conventional cell measures 9.522, 15.402 and 8.951 Å, with angles of 90.00, 90.00 and 90.00 degrees. The distinct sites, in fractional coordinates, are La at (0.000, 0.226, 0.000), Pm at (0.000, 0.052, 0.772), Pm at (0.248, 0.439, 0.592), Er at (0.000, 0.285, 0.633), Er at (0.000, 0.451, 0.903), Er at (0.174, 0.145, 0.419) and Er at (0.175, 0.351, 0.259).

Its crystal system is orthorhombic. For the calculated density, the calculation gives 7.98 g/cm3. As for the polymorph energy (0 for the lowest one): 0 kJ/mol of formula units. Its density of states at the Fermi level is 1.203 states/eV/atom. Its volume is 32.82 Å³/atom.

=====

[5]
Here is crystalline TbHo6Pu at its relaxed geometry from Alexandria via LeMat-Bulk. Energies are from PBE.

The space group is P-1 (No. 2) and the conventional cell measures 6.395, 6.650 and 6.851 Å, with angles of 60.98, 78.31 and 82.19 degrees. The distinct sites, in fractional coordinates, are Tb at (0.000, 0.000, 0.000), Ho at (0.245, 0.091, 0.423), Ho at (0.252, 0.566, 0.433), Ho at (0.274, 0.563, 0.906) and Pu at (0.500, 0.000, 0.000).

Its crystal system is triclinic. For the calculated density, the calculation gives 9.28 g/cm3. As for the polymorph energy (0 for the lowest one): 0 kJ/mol of formula units. Its density of states at the Fermi level is 1.780 states/eV/atom. Its volume is 31.15 Å³/atom.

=====

[6]
Here is crystalline InPt2Br at its relaxed geometry from Alexandria via LeMat-Bulk. Energies are from PBE.

The space group is I-42d (No. 122) and the conventional cell measures 4.202, 4.202 and 18.555 Å, with angles of 90.00, 90.00 and 90.00 degrees. The distinct sites, in fractional coordinates, are In at (0.000, 0.000, 0.000), Pt at (0.242, 0.250, 0.125) and Br at (0.000, 0.000, 0.500).

Its crystal system is tetragonal. For the calculated density, the calculation gives 11.86 g/cm3. As for the polymorph energy (0 for the lowest one): 125 kJ/mol of formula units. Its density of states at the Fermi level is 0.425 states/eV/atom. Its volume is 20.48 Å³/atom.

=====

[7]
Here is crystalline SrEr2S4 at its relaxed geometry from Alexandria via LeMat-Bulk. Energies are from PBE.

The space group is Pnma (No. 62) and the conventional cell measures 12.015, 3.967 and 14.282 Å, with angles of 90.00, 90.00 and 90.00 degrees. The distinct sites, in fractional coordinates, are Sr at (0.241, 0.250, 0.163), Er at (0.065, 0.250, 0.390), Er at (0.082, 0.250, 0.900), S at (0.025, 0.750, 0.784), S at (0.087, 0.250, 0.578), S at (0.128, 0.750, 0.027) and S at (0.206, 0.750, 0.328).

Its crystal system is orthorhombic. For the calculated density, the calculation gives 5.37 g/cm3. As for the polymorph energy (0 for the lowest one): 0 kJ/mol of formula units. Its density of states at the Fermi level is 0.000 states/eV/atom. Its volume is 24.31 Å³/atom.

=====

[8]
Here is crystalline LiAlTe at its relaxed geometry from Alexandria via LeMat-Bulk. Energies are from PBE.

The space group is I4mm (No. 107) and the conventional cell measures 3.811, 3.811 and 9.263 Å, with angles of 90.00, 90.00 and 90.00 degrees. The distinct sites, in fractional coordinates, are Li at (0.000, 0.000, 0.000), Al at (0.000, 0.000, 0.321) and Te at (0.000, 0.000, 0.683).

Its crystal system is tetragonal. For the calculated density, the calculation gives 3.99 g/cm3. As for the polymorph energy (0 for the lowest one): 27 kJ/mol of formula units. Its density of states at the Fermi level is 0.266 states/eV/atom. Its volume is 22.42 Å³/atom.